# NdEuAs PBE-GGA relaxed
data_NdEuAs
_chemical_formula_sum 'Nd1 Eu1 As1'
_symmetry_space_group_name_H-M 'P 1'
_symmetry_Int_Tables_number 1
_cell_length_a 4.206
_cell_length_b 4.206
_cell_length_c 6.919
_cell_angle_alpha 90.00
_cell_angle_beta 90.00
_cell_angle_gamma 120.00
loop_
_symmetry_equiv_pos_as_xyz
'x,y,z'
loop_
_atom_site_label
_atom_site_type_symbol
_atom_site_fract_x
_atom_site_fract_y
_atom_site_fract_z
Nd1 Nd 0.000 0.000 0.000
Eu1 Eu 0.667 0.333 0.507
As1 As 0.333 0.667 0.769
# spin magnetization: 7.76 μB/f.u.
# crystal system: trigonal
# ρ: 5.813 g/cm³
# ΔE to the lowest computed polymorph: 0 meV per atom
# energy of formation: -240 kJ/mol of formula units

---

# Li3PuTh2Se6 PBE-GGA relaxed
data_Li3PuTh2Se6
_chemical_formula_sum 'Li3 Pu1 Th2 Se6'
_symmetry_space_group_name_H-M 'P 1'
_symmetry_Int_Tables_number 1
_cell_length_a 7.169
_cell_length_b 7.169
_cell_length_c 7.002
_cell_angle_alpha 99.82
_cell_angle_beta 99.82
_cell_angle_gamma 119.99
loop_
_symmetry_equiv_pos_as_xyz
'x,y,z'
loop_
_atom_site_label
_atom_site_type_symbol
_atom_site_fract_x
_atom_site_fract_y
_atom_site_fract_z
Li1 Li 0.000 0.000 0.000
Li2 Li 0.333 0.667 0.000
Li3 Li 0.667 0.333 0.000
Pu1 Pu 0.500 0.500 0.500
Th1 Th 0.167 0.833 0.500
Th2 Th 0.833 0.167 0.500
Se1 Se 0.077 0.412 0.236
Se2 Se 0.253 0.253 0.765
Se3 Se 0.412 0.077 0.236
Se4 Se 0.588 0.923 0.764
Se5 Se 0.747 0.747 0.235
Se6 Se 0.923 0.588 0.764
# spin magnetization: 6.58 μB/f.u.
# crystal system: monoclinic
# ρ: 6.816 g/cm³

---

Number 1: VASP energy -22.183 eV per cell. Number 2: VASP energy -73.501 eV per cell.